CaDyCo4O12 | PBE with a Hubbard U | relaxed

Computed properties:
spin magnetization = 0.799 μB/atom
energy = -5.83 eV/atom
N(E_F) = 9.57 states/eV/cell

a b c (Å): 7.4308 5.2563 5.2563
angles (deg): 89.52 90.00 90.00
With the nearest neighbours (Å) after each atom.
Fractional coordinates of all 18 atoms:
Ca  0.0000  0.0000  0.0000  10 O 2.50-2.74
Dy  0.5000  0.4543  0.4543  6 O 2.27-2.51
Co  0.2469  0.4854  0.9722  6 O 1.85-1.92
Co  0.2469  0.9722  0.4854  6 O 1.85-1.92
Co  0.7531  0.4854  0.9722  6 O 1.85-1.92
Co  0.7531  0.9722  0.4854  6 O 1.85-1.92
O  0.0000  0.5180  0.9438  2 Co 1.85
O  0.0000  0.9438  0.5180  2 Co 1.85
O  0.2270  0.2561  0.2561  2 Co 1.92
O  0.2505  0.2016  0.7525  2 Co 1.86-1.89
O  0.2505  0.7525  0.2016  2 Co 1.86-1.89
O  0.2939  0.6850  0.6850  2 Co 1.86
O  0.5000  0.0216  0.4568  2 Co 1.90
O  0.5000  0.4568  0.0216  2 Co 1.90
O  0.7061  0.6850  0.6850  2 Co 1.86
O  0.7495  0.2016  0.7525  2 Co 1.86-1.89
O  0.7495  0.7525  0.2016  2 Co 1.86-1.89
O  0.7730  0.2561  0.2561  2 Co 1.92